MnNiAgSn, relaxed, DFT PBE; SG = F-43m (216); energy of formation from the pure elements = 0.34 eV/f.u.; final energy = -21.46 eV per formula unit
1.0
0.0000 3.1740 3.1740
3.1740 0.0000 3.1740
3.1740 3.1740 0.0000
Mn Ni Ag Sn
1 1 1 1
Cartesian
0.0000 0.0000 0.0000
3.1740 3.1740 3.1740
1.5870 1.5870 1.5870
4.7610 4.7610 4.7610